Here is Sr2YSnO after structural relaxation from Alexandria. Energies are from GGA-PBE.

Computed properties:
E above lowest polymorph   0 meV/atom
ΔE_f (raw)   -1.39 eV per atom
Calculated volume   128 Å³/f.u.
Symmetry   P4/mmm

POSCAR file:
```
Sr2YSnO
1.0
5.140 0.000 0.000
0.000 5.140 0.000
0.000 0.000 4.840
Sr Y Sn O
2 1 1 1
Cartesian
0.000 2.570 0.000
2.570 0.000 0.000
0.000 0.000 2.420
2.570 2.570 2.420
0.000 0.000 0.000
```